Entry 1:
The following is a GGA-PBE calculation of Na2UZn2O6 after structural relaxation, from Alexandria.

Uncorrected formation energy ... -2.078 eV per atom
Total DFT energy (no corrections) ... -6.28 eV/atom

Lattice parameters (Å, degrees): 5.673 9.276 6.080 90.00 111.89 90.00
Space group C2/m (No. 12)
Inequivalent atoms, fractional coordinates:
Na 0.000 0.181 0.000 x4
U 0.000 0.000 0.500 x2
Zn 0.000 0.337 0.500 x4
O 0.220 0.167 0.709 x8
O 0.250 0.000 0.309 x4

---

Entry 2:
The following is a GGA-PBE calculation of NaUZnO4 after structural relaxation, from Alexandria.

Uncorrected formation energy ... -2.347 eV per atom
Total DFT energy (no corrections) ... -7.16 eV/atom

Lattice parameters (Å, degrees): 6.309 6.999 9.230 90.00 90.00 90.00
Space group Imma (No. 74)
Inequivalent atoms, fractional coordinates:
Na 0.000 0.250 0.152 x4
U 0.000 0.000 0.500 x4
Zn 0.250 0.250 0.750 x4
O 0.000 0.048 0.727 x8
O 0.210 0.250 0.491 x8